# 1
Pr3Y4Ag | GGA-PBE | optimized geometry

Cell: 3.640 3.640 19.232 Å, 90.00 90.00 90.00°
Element x y z (fractional)
Pr (0.500, 0.500, 0.232)
Pr (0.500, 0.500, 0.500)
Pr (0.500, 0.500, 0.768)
Y (0.000, 0.000, 0.904)
Y (0.000, 0.000, 0.096)
Y (0.000, 0.000, 0.366)
Y (0.000, 0.000, 0.634)
Ag (0.500, 0.500, 0.000)

# 2
YbPrAg2 | GGA-PBE | optimized geometry

Cell: 5.265 5.265 5.265 Å, 60.00 60.00 60.00°
Last column: magnetic moment on the atom in μB.
Element x y z (fractional)
Pr (0.500, 0.500, 0.500)  0.00
Yb (0.000, 0.000, 0.000)  -0.23
Ag (0.750, 0.750, 0.750)  0.00
Ag (0.250, 0.250, 0.250)  0.00

# 3
Pr4Zn3Ag | GGA-PBE | optimized geometry

Cell: 3.742 3.742 14.839 Å, 90.00 90.00 90.00°
Element x y z (fractional)
Pr (0.000, 0.000, 0.868)
Pr (0.000, 0.000, 0.132)
Pr (0.000, 0.000, 0.376)
Pr (0.000, 0.000, 0.624)
Zn (0.500, 0.500, 0.255)
Zn (0.500, 0.500, 0.500)
Zn (0.500, 0.500, 0.745)
Ag (0.500, 0.500, 0.000)

distance to the lowest polymorph of the same formula: 0.000 eV/atom

no.,DFT total energy (eV per cell),energy of formation (eV/atom)
1,-43.54,-0.06
2,-13.38,-0.34
3,-28.12,-0.29